Record 1
Here is an optimized crystal structure of KRhBr2 from Alexandria via LeMat-Bulk. Energies are from PBE-GGA.

## Properties
DOS(E_F) = 2.60 states/eV/cell
formation energy without anion corrections = -0.372 eV/atom

```
KRhBr2
1.0
-2.814 2.849 1.255
-0.411 -1.960 -3.688
-4.218 -5.712 3.505
K Br Rh
1 2 1
Cartesian
-2.667 -0.983 -0.340
-4.033 -5.461 3.351
-2.294 -3.106 1.907
-4.776 -3.839 1.413
```

Record 2
Here is an optimized crystal structure of K2PtSe from Alexandria via LeMat-Bulk. Energies are from PBE-GGA.

## Properties
DOS(E_F) = 1.20 states/eV/cell
formation energy without anion corrections = -0.455 eV/atom

```
K2PtSe
1.0
12.312 0.000 0.000
0.000 12.312 0.000
6.156 6.156 2.412
Se K Pt
2 4 2
Cartesian
6.156 6.156 0.000
6.156 12.312 1.206
15.390 12.605 1.809
5.863 9.234 0.603
6.449 3.078 0.603
9.234 12.019 1.809
12.312 6.156 1.206
0.000 0.000 0.000
```

Record 3
Here is an optimized crystal structure of RbSnB from Alexandria via LeMat-Bulk. Energies are from PBE-GGA.

## Properties
DOS(E_F) = 2.94 states/eV/cell
ΔH_f (0 K) = 53.1 kJ per mole of atoms

```
RbSnB
1.0
3.957 0.000 0.000
0.000 10.628 0.000
0.000 0.000 4.854
Sn B Rb
2 2 2
Cartesian
1.979 4.471 2.427
0.000 6.156 0.000
1.979 4.829 0.000
0.000 5.799 2.427
1.979 8.326 2.427
0.000 2.302 0.000
```

Record 4
Here is an optimized crystal structure of K2Ga5Au4 from Alexandria via LeMat-Bulk. Energies are from PBE-GGA.

## Properties
DOS(E_F) = 4.54 states/eV/cell
ΔH_f (0 K) = -22.0 kJ per mole of atoms

```
K2Ga5Au4
1.0
-4.470 5.804 0.444
-5.315 0.786 -3.140
-5.653 -0.191 6.252
K Au Ga
2 4 5
Cartesian
-6.224 4.373 1.491
-9.214 2.026 2.064
-3.420 1.854 1.993
-12.019 4.545 1.562
-4.438 1.272 -0.645
-11.001 5.127 4.200
-6.223 2.759 -1.783
-5.484 0.297 1.556
-8.019 5.092 -1.605
-7.419 1.307 5.160
-9.216 3.640 5.339
```

Record 5
Here is an optimized crystal structure of MnCrSb4 from Alexandria via LeMat-Bulk. Energies are from PBE-GGA.

## Properties
DOS(E_F) = 5.02 states/eV/cell
formation energy without anion corrections = 0.818 eV/atom

```
MnCrSb4
1.0
0.000 4.364 4.364
4.364 0.000 4.364
4.364 4.364 0.000
Sb Cr Mn
4 1 1
Cartesian
5.455 5.455 3.273
3.273 5.455 5.455
3.273 3.273 3.273
5.455 3.273 5.455
6.546 6.546 6.546
0.000 0.000 0.000
```

Among the records above, which one has the highest DOS(E_F)? MnCrSb4